Entry 1:
# EuScPd2

A relaxed EuScPd2 crystal (PBE-GGA, Alexandria).

## Properties
Calculated formation energy ... -0.7842 eV per atom
Volume ... 20.8 Å³ per atom
Crystal system ... tetragonal

a b c (Å): 3.4109 3.4109 7.1601
angles (deg): 90.00 90.00 90.00
Space group P4/mmm (No. 123)
One atom of each set of equivalent atoms:
Eu  0.0000  0.0000  0.0000 x1
Sc  0.0000  0.0000  0.5000 x1
Pd  0.5000  0.5000  0.2917 x2


Entry 2:
# TeCSe2Br

A relaxed TeCSe2Br crystal (PBE-GGA, Alexandria).

## Properties
Volume ... 19.7 Å³ per atom
Energy relative to the lowest polymorph listed for this composition ... 0.000 eV per atom
Formation energy from raw total energies ... 1096.4 meV/atom
Crystal system ... tetragonal

a b c (Å): 4.5778 4.5778 4.6981
angles (deg): 90.00 90.00 90.00
Space group P4/mmm (No. 123)
One atom of each set of equivalent atoms:
Te  0.0000  0.0000  0.0000 x1
C  0.5000  0.5000  0.5000 x1
Se  0.0000  0.5000  0.5000 x2
Br  0.5000  0.5000  0.0000 x1


Entry 3:
# Tb3InGe3

A relaxed Tb3InGe3 crystal (PBE-GGA, Alexandria).

## Properties
Calculated formation energy ... -0.5551 eV per atom
Volume ... 27.6 Å³ per atom
Crystal system ... hexagonal

a b c (Å): 8.7078 8.7078 5.8935
angles (deg): 90.00 90.00 120.00
Space group P6_3/m (No. 176)
One atom of each set of equivalent atoms:
Tb  0.0527  0.3619  0.2500 x6
In  0.3333  0.6667  0.7500 x2
Ge  0.0427  0.3488  0.7500 x6


Entry 4:
# Tl2PO

A relaxed Tl2PO crystal (PBE-GGA, Alexandria).

## Properties
Volume ... 19.3 Å³ per atom
Energy relative to the lowest polymorph listed for this composition ... 0.383 eV per atom
Formation energy from raw total energies ... 298.4 meV/atom
Crystal system ... cubic

a b c (Å): 6.7578 6.7578 6.7578
angles (deg): 90.00 90.00 90.00
Space group Fm-3m (No. 225)
One atom of each set of equivalent atoms:
Tl  0.2500  0.2500  0.2500 x8
P  0.0000  0.0000  0.0000 x4
O  0.0000  0.0000  0.5000 x4


> The highest volume belongs to which entry?

Tb3InGe3


Please write out number 3 again, unchanged.
# Tb3InGe3

A relaxed Tb3InGe3 crystal (PBE-GGA, Alexandria).

## Properties
Calculated formation energy ... -0.5551 eV per atom
Volume ... 27.6 Å³ per atom
Crystal system ... hexagonal

a b c (Å): 8.7078 8.7078 5.8935
angles (deg): 90.00 90.00 120.00
Space group P6_3/m (No. 176)
One atom of each set of equivalent atoms:
Tb  0.0527  0.3619  0.2500 x6
In  0.3333  0.6667  0.7500 x2
Ge  0.0427  0.3488  0.7500 x6


Repeat the second record exactly.
# TeCSe2Br

A relaxed TeCSe2Br crystal (PBE-GGA, Alexandria).

## Properties
Volume ... 19.7 Å³ per atom
Energy relative to the lowest polymorph listed for this composition ... 0.000 eV per atom
Formation energy from raw total energies ... 1096.4 meV/atom
Crystal system ... tetragonal

a b c (Å): 4.5778 4.5778 4.6981
angles (deg): 90.00 90.00 90.00
Space group P4/mmm (No. 123)
One atom of each set of equivalent atoms:
Te  0.0000  0.0000  0.0000 x1
C  0.5000  0.5000  0.5000 x1
Se  0.0000  0.5000  0.5000 x2
Br  0.5000  0.5000  0.0000 x1